(1)
A relaxed LiTaCr2O6 crystal, computed with PBE with a Hubbard U.

a b c (Å): 5.5425 5.5425 5.5425
angles (deg): 55.36 55.36 55.36
Positions (direct):
Li 0.0000 0.0000 0.0000
Ta 0.4843 0.4843 0.4843
Cr 0.2837 0.2837 0.2837
Cr 0.7822 0.7822 0.7822
O 0.0789 0.6613 0.4037
O 0.1897 0.5544 0.8783
O 0.4037 0.0789 0.6613
O 0.5544 0.8783 0.1897
O 0.6613 0.4037 0.0789
O 0.8783 0.1897 0.5544

Results
SG   No. 146
Crystal system   trigonal
Calculated total energy   -8.1322 eV/atom
Mass density   6.00 Mg/m³

---

(2)
A relaxed Li2Cr3TeO8 crystal, computed with PBE with a Hubbard U.

a b c (Å): 6.0067 6.0067 9.7680
angles (deg): 90.00 90.00 120.00
Positions (direct):
Li 0.0000 0.0000 0.0000
Li 0.0000 0.0000 0.5000
Li 0.3333 0.6667 0.4155
Li 0.6667 0.3333 0.9155
Cr 0.1695 0.3389 0.7239
Cr 0.1695 0.8305 0.7239
Cr 0.3389 0.1695 0.2239
Cr 0.6611 0.8305 0.7239
Cr 0.8305 0.1695 0.2239
Cr 0.8305 0.6611 0.2239
Te 0.3333 0.6667 0.9982
Te 0.6667 0.3333 0.4982
O 0.0000 0.0000 0.3168
O 0.0000 0.0000 0.8168
O 0.0339 0.5170 0.8479
O 0.1590 0.3179 0.1057
O 0.1590 0.8410 0.1057
O 0.3179 0.1590 0.6057
O 0.3333 0.6667 0.6198
O 0.4830 0.5170 0.8479
O 0.4830 0.9661 0.8479
O 0.5170 0.0339 0.3479
O 0.5170 0.4830 0.3479
O 0.6667 0.3333 0.1198
O 0.6821 0.8410 0.1057
O 0.8410 0.1590 0.6057
O 0.8410 0.6821 0.6057
O 0.9661 0.4830 0.3479

Results
SG   No. 186
Crystal system   hexagonal
Calculated total energy   -6.7220 eV/atom
Mass density   4.63 Mg/m³